AcPm2Pr3 after structural relaxation. Source: Alexandria, functional PBE.

Summary:
Offset from the most stable computed form (eV per atom): 0.3006
ΔH_f (0 K) (kJ/mol of formula units): 189

Unit cell a=3.5763 b=6.3206 c=20.0200 alpha=90.00 beta=90.00 gamma=90.00
Space group Immm (No. 71)
Unique sites:
Ac  0.0000  0.0000  0.0000
Pm  0.0000  0.0000  0.3608
Pr  0.0000  0.0000  0.1907
Pr  0.0000  0.5000  0.0000

---

RbSc2W after structural relaxation. Source: Alexandria, functional PBE.

Summary:
Offset from the most stable computed form (eV per atom): 0.0000
ΔH_f (0 K) (kJ/mol of formula units): 263

Unit cell a=3.2953 b=3.2953 c=33.8245 alpha=90.00 beta=90.00 gamma=120.00
Space group R-3m (No. 166, hexagonal axes)
Unique sites:
Rb  0.0000  0.0000  0.0000
Sc  0.0000  0.0000  0.1053
W  0.0000  0.0000  0.5000

---

Cs3Na2CeI9 after structural relaxation. Source: Alexandria, functional PBE.

Summary:
E_form (uncorrected) (meV per atom): -1333

Unit cell a=8.8501 b=8.8501 c=10.9382 alpha=90.00 beta=90.00 gamma=120.00
Space group P-3m1 (No. 164)
Unique sites:
Cs  0.0000  0.0000  0.0000
Cs  0.3333  0.6667  0.7285
Na  0.3333  0.6667  0.1522
Ce  0.0000  0.0000  0.5000
I  0.0000  0.5000  0.0000
I  0.1616  0.3233  0.3399

---

TlB2As2S6 after structural relaxation. Source: Alexandria, functional PBE.

Summary:
E_form (uncorrected) (meV per atom): -136

Unit cell a=5.9945 b=7.6130 c=8.3332 alpha=64.52 beta=69.00 gamma=66.91
Space group P-1 (No. 2)
Unique sites:
Tl  0.0000  0.0000  0.0000
B  0.4647  0.1821  0.8888
As  0.0355  0.3202  0.6085
S  0.1820  0.3969  0.7844
S  0.3625  0.6031  0.2155
S  0.3893  0.0688  0.1533

---

KNb3Os after structural relaxation. Source: Alexandria, functional PBE.

Summary:
Offset from the most stable computed form (eV per atom): 1.6244
ΔH_f (0 K) (kJ/mol of formula units): 1353

Unit cell a=4.5302 b=4.5302 c=4.5302 alpha=90.00 beta=90.00 gamma=90.00
Space group Pm-3m (No. 221)
Unique sites:
K  0.0000  0.0000  0.0000
Nb  0.0000  0.0000  0.5000
Os  0.5000  0.5000  0.5000

---

Y2Ge2Rh5Au after structural relaxation. Source: Alexandria, functional PBE.

Summary:
ΔH_f (0 K) (kJ/mol of formula units): -692

Unit cell a=9.7486 b=9.7486 c=3.6318 alpha=90.00 beta=90.00 gamma=90.00
Space group P4/mbm (No. 127)
Unique sites:
Y  0.1745  0.3255  0.0000
Ge  0.1246  0.6246  0.0000
Rh  0.0000  0.5000  0.5000
Rh  0.0675  0.7901  0.5000
Au  0.0000  0.0000  0.0000

---

Which total DFT energy (no corrections) belongs to each record? In order, -4.33, -5.96, -3.01, -4.66, -5.70, -6.94 eV/atom.
Which N(E_F) belongs to each record? In order, 1.83, 1.45, 0.44, 0.37, 0.92, 0.56 states/eV/atom.